The following is a meta-GGA SCAN calculation of a crystal of MnTcI2O relaxed with PBEsol, from the Alexandria database.

The calculation puts the formation energy from raw total energies at 0.31 eV/atom. The final energy is -131.48 eV/f.u.

The space group is P4/mmm (No. 123) and the conventional cell measures 5.125, 5.125 and 3.395 Å, with angles of 90.00, 90.00 and 90.00 degrees. The inequivalent atoms are Mn at (0.000, 0.000, 0.000), Tc at (0.500, 0.500, 0.500), I at (0.000, 0.500, 0.000) and O at (0.000, 0.000, 0.500).